# LiZnBi

A relaxed structure of LiZnBi (PBE, the Open Quantum Materials Database).

## Properties
Calculated total energy (eV/atom): -2.544
Space group: P-62m

Unit cell a=7.6803 b=7.6803 c=3.8962 alpha=90.00 beta=90.00 gamma=120.00
With the nearest neighbours (Å) after each atom.
Positions (direct):
1 Bi 0.2849 0.0000 0.0000  4 Zn 2.76-2.93
2 Bi 0.0000 0.2849 0.0000  4 Zn 2.76-2.93
3 Bi 0.7151 0.7151 0.0000  4 Zn 2.76-2.93
4 Li 0.6111 0.0000 0.5000  5 Zn 2.99-3.07, 6 Bi 3.17-3.31
5 Li 0.3889 0.3889 0.5000  5 Zn 2.99-3.07, 6 Bi 3.17-3.31
6 Li 0.0000 0.6111 0.5000  5 Zn 2.99-3.07, 6 Bi 3.17-3.31
7 Zn 0.6667 0.3333 0.0000  3 Bi 2.76, 6 Li 3.07
8 Zn 0.3333 0.6667 0.0000  3 Bi 2.76, 6 Li 3.07
9 Zn 0.0000 0.0000 0.5000  6 Bi 2.93, 3 Li 2.99